First-principles (PBE) data for an optimized crystal structure of ZnOs3, as listed in Alexandria.

Summary:
Magnetic moment = 0.00 μB/cell
Formation energy = 0.278 eV/atom
Crystal system = monoclinic
V = 14.3 Å³ per atom

a = 4.736 Å, b = 4.736 Å, c = 4.675 Å
α = 98.56°, β = 98.56°, γ = 33.57°
Sites, in units of the cell vectors:
Zn: 0.000 0.000 0.000
Os: 0.242 0.242 0.748
Os: 0.500 0.500 0.500
Os: 0.758 0.758 0.252